{
  "formula": "LiBeAs2",
  "functional": "GGA-PBEsol",
  "state": "relaxed",
  "relative_energy_mev_per_atom": 265,
  "formation_energy_kj_per_mol_fu": 20,
  "volume_a3_per_atom": 14.737,
  "total_magnetization_mub_per_atom": 0.00,
  "final_energy_ev_per_atom": -3.993,
  "cell": [[-0.2851, 0.5933, -4.0325], [-0.3514, -4.3079, 1.4610], [-3.7496, -1.6229, 0.0263]],
  "species": ["Li", "Be", "As", "As"],
  "frac_coords": [[0.0000, 0.0000, 0.0000], [0.5000, 0.0000, 0.5000], [0.2500, 0.5000, 0.2500], [0.7500, 0.5000, 0.7500]]
}

***

{
  "formula": "LiBeAs2",
  "functional": "GGA-PBEsol",
  "state": "relaxed",
  "relative_energy_mev_per_atom": 300,
  "formation_energy_kj_per_mol_fu": 34,
  "volume_a3_per_atom": 14.898,
  "total_magnetization_mub_per_atom": 0.00,
  "final_energy_ev_per_atom": -3.958,
  "cell": [[4.3843, 0.0000, 0.0000], [2.1921, 3.7969, 0.0000], [2.1921, 1.2656, 3.5798]],
  "species": ["Be", "Li", "As", "As"],
  "frac_coords": [[0.0000, 0.0000, 0.0000], [0.5000, 0.5000, 0.5000], [0.7500, 0.7500, 0.7500], [0.2500, 0.2500, 0.2500]]
}

***

{
  "formula": "MgBeAs2",
  "functional": "GGA-PBEsol",
  "state": "relaxed",
  "relative_energy_mev_per_atom": 0,
  "formation_energy_kj_per_mol_fu": -32,
  "volume_a3_per_atom": 16.636,
  "total_magnetization_mub_per_atom": 0.00,
  "final_energy_ev_per_atom": -4.066,
  "cell": [[3.3705, 0.0000, 0.0000], [1.6852, 2.9189, 0.0000], [1.6852, 0.9730, 6.7639]],
  "species": ["Mg", "Be", "As", "As"],
  "frac_coords": [[0.0000, 0.0000, 0.0000], [0.5000, 0.5000, 0.5000], [0.7649, 0.7649, 0.7053], [0.2351, 0.2351, 0.2947]]
}